## w
YPbNF2 (GGA-PBE, relaxed); magnetic moment = 0.11 μB per formula unit; space-group type = No. 123; crystal system = tetragonal
1.0
4.365 0.000 0.000
0.000 4.365 0.000
0.000 0.000 4.687
Pb Y N F
1 1 1 2
Direct
0.500 0.500 0.500 Pb
0.000 0.000 0.000 Y
0.000 0.000 0.500 N
0.000 0.500 0.000 F
0.500 0.000 0.000 F

***

## x
YPbNF2 (GGA-PBE, relaxed); magnetic moment = 0.86 μB per formula unit; space-group type = No. 123; crystal system = tetragonal
1.0
4.574 0.000 0.000
0.000 4.574 0.000
0.000 0.000 4.495
Pb Y N F
1 1 1 2
Direct
0.000 0.000 0.000 Pb
0.500 0.500 0.500 Y
0.000 0.000 0.500 N
0.000 0.500 0.000 F
0.500 0.000 0.000 F

***

It is w that is most stable; the runner-up trails by 967 meV/atom.

***

## w
ZrPbN2F (GGA-PBE, relaxed); magnetic moment = 0.02 μB per formula unit; space-group type = No. 123; crystal system = tetragonal
1.0
4.307 0.000 0.000
0.000 4.307 0.000
0.000 0.000 4.245
Pb N Zr F
1 2 1 1
Direct
0.500 0.500 0.500 Pb
0.000 0.500 0.000 N
0.500 0.000 0.000 N
0.000 0.000 0.000 Zr
0.000 0.000 0.500 F

***

## x
ZrPbN2F (GGA-PBE, relaxed); magnetic moment = 0.76 μB per formula unit; space-group type = No. 123; crystal system = tetragonal
1.0
-0.337 -2.107 -3.829
4.223 -1.147 0.259
-1.084 -3.532 2.039
Pb N Zr F
1 2 1 1
Direct
0.000 0.000 0.000 Pb
0.000 0.500 0.000 N
0.500 0.000 0.000 N
0.500 0.500 0.500 Zr
0.000 0.000 0.500 F

***

It is w that is most stable; the runner-up trails by 1343 meV/atom.